(1)
Computed, not measured: Li5Zn5Pd2 after structural relaxation at the PBE level of DFT.

Geometry as POSCAR:
```
Li5Zn5Pd2
1.0
4.362 0.011 0.765
2.116 3.814 0.765
0.020 0.012 11.572
Li Zn Pd
5 5 2
direct
0.500 0.500 0.500
0.302 0.302 0.093
0.224 0.224 0.327
0.776 0.776 0.673
0.698 0.698 0.907
0.852 0.852 0.442
0.404 0.404 0.792
0.596 0.596 0.208
0.148 0.148 0.558
0.000 0.000 0.000
0.074 0.074 0.783
0.926 0.926 0.217
```

Properties
**Polymorph energy (0 for the lowest one)**: 0.046 eV per atom
**Final energy**: -29.9 eV per cell
**Calculated volume**: 192.1 Å³ per cell
**E_form**: -296 meV per atom


(2)
Computed, not measured: BeCuSb3 after structural relaxation at the PBE level of DFT.

Geometry as POSCAR:
```
BeCuSb3
1.0
5.055 0.000 0.000
0.000 5.055 0.000
0.000 0.000 5.055
Sb Cu Be
3 1 1
direct
0.000 0.500 0.000
0.000 0.000 0.500
0.500 0.000 0.000
0.000 0.000 0.000
0.500 0.500 0.500
```

Properties
**Polymorph energy (0 for the lowest one)**: 0.230 eV per atom
**Final energy**: -15.6 eV per cell
**Calculated volume**: 129.2 Å³ per cell
**Formation energy (no corrections)**: 0.918 eV/atom


(3)
Computed, not measured: Pr3Nd2Y7 after structural relaxation at the PBE level of DFT.

Geometry as POSCAR:
```
Pr3Nd2Y7
1.0
3.656 0.000 -0.478
0.000 5.700 0.000
0.852 0.000 20.750
Pr Nd Y
3 2 7
direct
0.500 0.500 0.000
0.830 0.000 0.660
0.170 0.000 0.340
0.363 0.500 0.726
0.637 0.500 0.274
0.285 0.500 0.569
0.715 0.500 0.431
0.416 0.000 0.833
0.000 0.000 0.000
0.584 0.000 0.167
0.067 0.500 0.134
0.933 0.500 0.866
```

Properties
**Polymorph energy (0 for the lowest one)**: 0.157 eV per atom
**Final energy**: -66.3 eV per cell
**Calculated volume**: 434.7 Å³ per cell
**E_form**: 237 meV per atom


(4)
Computed, not measured: CdRe2Pt after structural relaxation at the PBE level of DFT.

Geometry as POSCAR:
```
CdRe2Pt
1.0
2.805 0.470 0.000
-0.471 2.804 0.000
0.000 0.000 8.094
Re Pt Cd
2 1 1
direct
0.000 0.000 0.010
0.500 0.500 0.222
0.500 0.500 0.767
0.000 0.000 0.500
```

Properties
**Final energy**: -31.5 eV per cell
**Calculated volume**: 65.5 Å³ per cell
**E_form**: 87 meV per atom


(5)
Computed, not measured: NbAg2Rh2S6 after structural relaxation at the PBE level of DFT.

Geometry as POSCAR:
```
NbAg2Rh2S6
1.0
6.021 -0.123 -0.176
-3.083 5.173 -0.176
-1.308 -2.249 7.130
Nb Ag Rh S
1 2 2 6
direct
0.000 0.000 0.500
0.809 0.191 0.000
0.191 0.809 0.000
0.341 0.659 0.500
0.659 0.341 0.500
0.776 0.776 0.721
0.084 0.443 0.693
0.224 0.224 0.279
0.443 0.084 0.693
0.916 0.557 0.307
0.557 0.916 0.307
```

Properties
**Final energy**: -59.5 eV per cell
**Calculated volume**: 214.5 Å³ per cell
**Formation energy (no corrections)**: -0.388 eV/atom


(6)
Computed, not measured: SiMoRhI2 after structural relaxation at the PBE level of DFT.

Geometry as POSCAR:
```
SiMoRhI2
1.0
-3.758 -3.416 -1.719
3.369 -3.536 -0.339
-1.005 -1.443 5.065
I Mo Rh Si
2 1 1 1
direct
0.000 0.000 0.500
0.500 0.000 0.000
0.000 0.500 0.000
0.000 0.000 0.000
0.500 0.500 0.500
```

Properties
**Final energy**: -20.5 eV per cell
**Calculated volume**: 140.7 Å³ per cell
**Formation energy (no corrections)**: 1.239 eV/atom


(7)
Computed, not measured: GaSb2AuF after structural relaxation at the PBE level of DFT.

Geometry as POSCAR:
```
GaSb2AuF
1.0
5.303 0.000 0.000
0.000 4.806 0.000
0.000 0.000 5.303
Sb Au Ga F
2 1 1 1
direct
0.000 0.000 0.500
0.500 0.000 0.000
0.000 0.500 0.000
0.000 0.000 0.000
0.500 0.500 0.500
```

Properties
**Final energy**: -15.3 eV per cell
**Calculated volume**: 135.2 Å³ per cell
**Formation energy (no corrections)**: 0.216 eV/atom


(8)
Computed, not measured: Ti3Mo4W3 after structural relaxation at the PBE level of DFT.

Geometry as POSCAR:
```
Ti3Mo4W3
1.0
-0.852 -2.650 1.651
4.760 -3.857 -3.735
4.655 1.730 5.180
Ti Mo W
3 4 3
direct
0.500 0.837 0.163
0.500 0.372 0.303
0.500 0.697 0.628
0.000 0.652 0.348
0.000 0.362 0.638
0.000 0.822 0.877
0.000 0.123 0.178
0.000 0.476 0.980
0.000 0.020 0.524
0.500 0.138 0.862
```

Properties
**Final energy**: -101.4 eV per cell
**Calculated volume**: 166.2 Å³ per cell
**E_form**: 450 meV per atom


(9)
Computed, not measured: CsTeI2N after structural relaxation at the PBE level of DFT.

Geometry as POSCAR:
```
CsTeI2N
1.0
-6.687 1.976 2.024
0.143 -4.953 5.307
1.552 2.707 2.484
Cs I Te N
1 2 1 1
direct
0.500 0.500 0.500
0.000 0.500 0.000
0.500 0.000 0.000
0.000 0.000 0.500
0.000 0.000 0.000
```

Properties
**Polymorph energy (0 for the lowest one)**: 0.252 eV per atom
**Final energy**: -14.4 eV per cell
**Calculated volume**: 210.2 Å³ per cell
**Formation energy (no corrections)**: 0.199 eV/atom


(10)
Computed, not measured: ErZnBO4 after structural relaxation at the PBE level of DFT.

Geometry as POSCAR:
```
ErZnBO4
1.0
5.752 0.000 0.000
2.876 5.121 -0.400
2.876 1.179 5.000
Er Zn B O
2 2 2 8
direct
0.000 0.000 0.000
0.000 0.500 0.500
0.500 0.000 0.500
0.000 0.000 0.500
0.626 0.624 0.124
0.374 0.376 0.876
0.720 0.713 0.847
0.280 0.653 0.787
0.720 0.347 0.213
0.280 0.287 0.153
0.257 0.759 0.259
0.725 0.759 0.259
0.275 0.241 0.741
0.743 0.241 0.741
```

Properties
**Final energy**: -94.9 eV per cell
**Calculated volume**: 150.0 Å³ per cell
**Formation energy (no corrections)**: -2.158 eV/atom


(11)
Computed, not measured: Ca2LaBr6 after structural relaxation at the PBE level of DFT.

Geometry as POSCAR:
```
Ca2LaBr6
1.0
4.280 0.000 0.000
-2.140 7.419 0.606
0.000 -1.629 10.987
Ca La Br
2 1 6
direct
0.745 0.490 0.825
0.255 0.510 0.175
0.000 0.000 0.500
0.913 0.826 0.735
0.847 0.695 0.070
0.153 0.305 0.930
0.638 0.277 0.602
0.362 0.723 0.398
0.087 0.174 0.265
```

Properties
**Final energy**: -35.2 eV per cell
**Calculated volume**: 353.1 Å³ per cell
**Formation energy (no corrections)**: -1.805 eV/atom


(12)
Computed, not measured: NaCaHoCd after structural relaxation at the PBE level of DFT.

Geometry as POSCAR:
```
NaCaHoCd
1.0
-2.896 -1.906 4.235
-4.560 -2.895 -0.885
-0.083 -5.368 1.064
Na Ca Ho Cd
1 1 1 1
direct
0.250 0.250 0.250
0.000 0.000 0.000
0.500 0.500 0.500
0.750 0.750 0.750
```

Properties
**Final energy**: -8.9 eV per cell
**Calculated volume**: 115.9 Å³ per cell
**E_form**: -12 meV per atom